## TbLuW (GGA-PBE)

Data for TbLuW after structural relaxation.

Calculated values
As for the calculated formation energy: 0.841 eV per atom. As for the mass density: 10.7 g/cm3. The electronic total energy is -6.530 eV per atom. As for the crystal system: cubic. As for the space group: F-43m.

Lattice parameters (Å, degrees): 4.8365 4.8365 4.8365 60.00 60.00 60.00
Positions (direct):
Tb 0.0000 0.0000 0.0000
Lu 0.5000 0.5000 0.5000
W 0.7500 0.7500 0.7500